The following is a PBE-GGA calculation of In2SiAg after structural relaxation, from Alexandria via LeMat-Bulk.

a = 6.426 Å, b = 6.426 Å, c = 6.426 Å
α = 153.65°, β = 131.51°, γ = 56.03°
Element x y z (fractional)
In: 0.000 0.000 0.000
In: 0.694 0.194 0.500
Si: 0.242 0.742 0.500
Ag: 0.444 0.444 0.000

Computed properties:
Energy relative to the elements, uncorrected: 0.246 eV/atom

=====

The following is a PBE-GGA calculation of Zr2InSiAg after structural relaxation, from Alexandria via LeMat-Bulk.

a = 4.992 Å, b = 4.992 Å, c = 4.885 Å
α = 90.00°, β = 90.00°, γ = 90.00°
Element x y z (fractional)
Zr: 0.000 0.500 0.000
Zr: 0.500 0.000 0.000
In: 0.000 0.000 0.500
Si: 0.000 0.000 0.000
Ag: 0.500 0.500 0.500

Computed properties:
Energy relative to the elements, uncorrected: 0.372 eV/atom

=====

The following is a PBE-GGA calculation of Sm6InAg6 after structural relaxation, from Alexandria via LeMat-Bulk.

a = 5.941 Å, b = 5.941 Å, c = 10.945 Å
α = 90.00°, β = 90.00°, γ = 120.00°
Element x y z (fractional)
Sm: 0.000 0.000 0.167
Sm: 0.000 0.000 0.833
Sm: 0.333 0.667 0.000
Sm: 0.333 0.667 0.500
Sm: 0.667 0.333 0.000
Sm: 0.667 0.333 0.500
In: 0.000 0.000 0.500
Ag: 0.000 0.500 0.258
Ag: 0.000 0.500 0.742
Ag: 0.500 0.000 0.258
Ag: 0.500 0.000 0.742
Ag: 0.500 0.500 0.258
Ag: 0.500 0.500 0.742

Computed properties:
ΔH_f (0 K): -2.25 eV per formula unit

=====

The following is a PBE-GGA calculation of Sm4In5Ag2 after structural relaxation, from Alexandria via LeMat-Bulk.

a = 7.898 Å, b = 3.577 Å, c = 10.242 Å
α = 90.00°, β = 94.27°, γ = 90.00°
Element x y z (fractional)
Sm: 0.170 0.000 0.380
Sm: 0.265 0.000 0.942
Sm: 0.735 0.000 0.058
Sm: 0.830 0.000 0.620
In: 0.188 0.500 0.663
In: 0.440 0.500 0.198
In: 0.500 0.500 0.500
In: 0.560 0.500 0.802
In: 0.812 0.500 0.337
Ag: 0.063 0.500 0.134
Ag: 0.937 0.500 0.866

Computed properties:
ΔH_f (0 K): -4.29 eV per formula unit

=====

The following is a PBE-GGA calculation of Sm8InAg2 after structural relaxation, from Alexandria via LeMat-Bulk.

a = 8.675 Å, b = 8.675 Å, c = 8.526 Å
α = 118.02°, β = 118.02°, γ = 35.96°
Element x y z (fractional)
Sm: 0.067 0.067 0.225
Sm: 0.143 0.143 0.702
Sm: 0.315 0.315 0.538
Sm: 0.402 0.402 0.043
Sm: 0.598 0.598 0.957
Sm: 0.685 0.685 0.462
Sm: 0.857 0.857 0.298
Sm: 0.933 0.933 0.775
In: 0.500 0.500 0.500
Ag: 0.222 0.222 0.119
Ag: 0.778 0.778 0.881

Computed properties:
Distance to the lowest polymorph of the same formula: 0 kJ/mol of formula units
ΔH_f (0 K): -1.81 eV per formula unit

=====

The following is a PBE-GGA calculation of Sm4In2Ag3 after structural relaxation, from Alexandria via LeMat-Bulk.

a = 5.744 Å, b = 5.744 Å, c = 9.304 Å
α = 103.79°, β = 103.79°, γ = 51.68°
Element x y z (fractional)
Sm: 0.062 0.062 0.349
Sm: 0.360 0.360 0.103
Sm: 0.640 0.640 0.897
Sm: 0.938 0.938 0.651
In: 0.269 0.269 0.732
In: 0.731 0.731 0.268
Ag: 0.000 0.000 0.000
Ag: 0.364 0.364 0.435
Ag: 0.636 0.636 0.565

Computed properties:
ΔH_f (0 K): -2.94 eV per formula unit

=====

The following is a PBE-GGA calculation of SmIn2Ag3 after structural relaxation, from Alexandria via LeMat-Bulk.

a = 4.802 Å, b = 4.802 Å, c = 13.361 Å
α = 90.00°, β = 90.00°, γ = 120.00°
Element x y z (fractional)
Sm: 0.000 0.000 0.250
Sm: 0.000 0.000 0.750
In: 0.333 0.667 0.091
In: 0.333 0.667 0.409
In: 0.667 0.333 0.591
In: 0.667 0.333 0.909
Ag: 0.000 0.000 0.000
Ag: 0.000 0.000 0.500
Ag: 0.333 0.667 0.639
Ag: 0.333 0.667 0.861
Ag: 0.667 0.333 0.139
Ag: 0.667 0.333 0.361

Computed properties:
Distance to the lowest polymorph of the same formula: 5 kJ/mol of formula units
ΔH_f (0 K): -1.40 eV per formula unit

=====

The following is a PBE-GGA calculation of Sm5InAg2 after structural relaxation, from Alexandria via LeMat-Bulk.

a = 8.911 Å, b = 8.911 Å, c = 8.911 Å
α = 124.60°, β = 124.60°, γ = 82.20°
Element x y z (fractional)
Sm: 0.000 0.000 0.000
Sm: 0.006 0.506 0.811
Sm: 0.195 0.006 0.500
Sm: 0.305 0.805 0.811
Sm: 0.494 0.305 0.500
Sm: 0.500 0.500 0.000
Sm: 0.506 0.695 0.500
Sm: 0.695 0.195 0.189
Sm: 0.805 0.994 0.500
Sm: 0.994 0.494 0.189
In: 0.250 0.250 0.000
In: 0.750 0.750 0.000
Ag: 0.132 0.368 0.500
Ag: 0.368 0.868 0.236
Ag: 0.632 0.132 0.764
Ag: 0.868 0.632 0.500

Computed properties:
ΔH_f (0 K): -1.88 eV per formula unit

=====

The following is a PBE-GGA calculation of Sm7InAg4 after structural relaxation, from Alexandria via LeMat-Bulk.

a = 7.868 Å, b = 7.868 Å, c = 9.356 Å
α = 118.70°, β = 118.70°, γ = 43.11°
Element x y z (fractional)
Sm: 0.000 0.000 0.000
Sm: 0.227 0.227 0.690
Sm: 0.319 0.319 0.118
Sm: 0.424 0.424 0.592
Sm: 0.576 0.576 0.408
Sm: 0.681 0.681 0.882
Sm: 0.773 0.773 0.310
In: 0.500 0.500 0.000
Ag: 0.025 0.025 0.685
Ag: 0.188 0.188 0.342
Ag: 0.812 0.812 0.658
Ag: 0.975 0.975 0.315

Computed properties:
ΔH_f (0 K): -0.97 eV per formula unit

=====

The following is a PBE-GGA calculation of Sm3In3Ag after structural relaxation, from Alexandria via LeMat-Bulk.

a = 6.194 Å, b = 6.194 Å, c = 15.368 Å
α = 107.85°, β = 107.85°, γ = 44.75°
Element x y z (fractional)
Sm: 0.037 0.037 0.383
Sm: 0.101 0.101 0.923
Sm: 0.234 0.234 0.227
Sm: 0.766 0.766 0.773
Sm: 0.899 0.899 0.077
Sm: 0.963 0.963 0.617
In: 0.366 0.366 0.455
In: 0.383 0.383 0.925
In: 0.480 0.480 0.768
In: 0.520 0.520 0.232
In: 0.617 0.617 0.075
In: 0.634 0.634 0.545
Ag: 0.259 0.259 0.611
Ag: 0.741 0.741 0.389

Computed properties:
ΔH_f (0 K): -2.92 eV per formula unit

=====

The following is a PBE-GGA calculation of Sm3In2Ag4 after structural relaxation, from Alexandria via LeMat-Bulk.

a = 6.020 Å, b = 6.020 Å, c = 9.202 Å
α = 116.60°, β = 116.60°, γ = 47.89°
Element x y z (fractional)
Sm: 0.000 0.000 0.000
Sm: 0.339 0.339 0.325
Sm: 0.661 0.661 0.675
In: 0.377 0.377 0.710
In: 0.623 0.623 0.290
Ag: 0.068 0.068 0.402
Ag: 0.282 0.282 0.948
Ag: 0.718 0.718 0.052
Ag: 0.932 0.932 0.598

Computed properties:
ΔH_f (0 K): -3.12 eV per formula unit

=====

The following is a PBE-GGA calculation of Sm8In2Ag after structural relaxation, from Alexandria via LeMat-Bulk.

a = 9.897 Å, b = 9.897 Å, c = 6.899 Å
α = 102.46°, β = 102.46°, γ = 30.92°
Element x y z (fractional)
Sm: 0.017 0.017 0.268
Sm: 0.206 0.206 0.797
Sm: 0.346 0.346 0.526
Sm: 0.407 0.407 0.034
Sm: 0.593 0.593 0.966
Sm: 0.654 0.654 0.474
Sm: 0.794 0.794 0.203
Sm: 0.983 0.983 0.732
In: 0.186 0.186 0.245
In: 0.814 0.814 0.755
Ag: 0.500 0.500 0.500

Computed properties:
Distance to the lowest polymorph of the same formula: 26 kJ/mol of formula units
ΔH_f (0 K): -2.08 eV per formula unit

=====

Short version: total moment = 0.000; 0.000; 0.000; 0.000; 0.000; 0.002; 0.000; 0.001; 0.000; 0.000; 0.000; 0.000 μB/f.u., in the order given.